The following is a PBE calculation of a relaxed InF crystal, from Alexandria.

Geometry as POSCAR:
```
InF
1.0
-3.6595 1.2145 1.7567
3.0917 -1.5848 2.4260
2.1179 2.5311 2.6589
In F
1 1
direct
0.1101 0.7800 0.4433
0.3599 0.2800 0.6933
```

The following is a PBE calculation of a relaxed La9ErSn2 crystal, from Alexandria.

Geometry as POSCAR:
```
La9ErSn2
1.0
5.0675 0.0000 0.0000
0.0000 5.0675 0.0000
0.0000 0.0000 15.4432
La Er Sn
9 1 2
direct
0.5000 0.5000 0.0000
0.5000 0.5000 0.3372
0.5000 0.5000 0.6628
0.5000 0.0000 0.1737
0.5000 0.0000 0.5000
0.5000 0.0000 0.8263
0.0000 0.5000 0.1737
0.0000 0.5000 0.5000
0.0000 0.5000 0.8263
0.0000 0.0000 0.0000
0.0000 0.0000 0.3374
0.0000 0.0000 0.6626
```

The value obtained for the calculated formation energy is -0.30 eV per atom.

The following is a PBE calculation of a relaxed La3SnTe crystal, from Alexandria.

Geometry as POSCAR:
```
La3SnTe
1.0
5.9204 0.0000 0.0000
0.0000 5.9204 0.0000
0.0000 0.0000 5.9204
Te Sn La
1 1 3
direct
0.0000 0.0000 0.0000
0.5000 0.5000 0.5000
0.0000 0.5000 0.0000
0.0000 0.0000 0.5000
0.5000 0.0000 0.0000
```

The following is a PBE calculation of a relaxed Cr2TcSe crystal, from Alexandria.

Geometry as POSCAR:
```
Cr2TcSe
1.0
-0.1025 2.8928 -0.6682
-1.9712 -0.5663 -2.1492
-4.5437 0.7556 3.9682
Cr Se Tc
2 1 1
direct
0.0000 0.0000 0.0069
0.5000 0.5000 0.2515
0.0000 0.0000 0.4703
0.5000 0.5000 0.7714
```

The following is a PBE calculation of a relaxed Pr3Sm3Ho5 crystal, from Alexandria.

Geometry as POSCAR:
```
Pr3Sm3Ho5
1.0
-3.9582 3.4305 -1.8734
-2.0084 -6.2016 -7.1127
-4.6031 -0.6964 8.4504
Pr Sm Ho
3 3 5
direct
0.5000 0.6338 0.6338
0.5000 0.0000 0.3662
0.5000 0.3662 0.0000
0.0000 0.4632 0.4632
0.0000 0.5368 0.0000
0.0000 0.0000 0.5368
0.5000 0.3333 0.6667
0.5000 0.6667 0.3333
0.5000 0.2694 0.2694
0.5000 0.0000 0.7306
0.5000 0.7306 0.0000
```

The value obtained for the calculated formation energy is 0.77 eV per atom.

The following is a PBE calculation of a relaxed Mg2InAs crystal, from Alexandria.

Geometry as POSCAR:
```
Mg2InAs
1.0
7.8066 0.0000 0.0000
0.0000 7.8066 0.0000
3.9033 3.9033 3.2126
As Mg In
2 4 2
direct
0.5000 0.5000 0.0000
0.2500 0.7500 0.5000
0.5720 0.1250 0.2500
0.1780 0.6250 0.2500
0.3750 0.4280 0.7500
0.8750 0.8220 0.7500
0.0000 0.0000 0.0000
0.7500 0.2500 0.5000
```

The value obtained for the calculated formation energy is -0.11 eV per atom.

The following is a PBE calculation of a relaxed Fe2MoHOs crystal, from Alexandria.

Geometry as POSCAR:
```
Fe2MoHOs
1.0
3.7453 0.0000 0.0000
0.0000 3.7453 0.0000
0.0000 0.0000 3.7729
H Mo Os Fe
1 1 1 2
direct
0.0000 0.0000 0.0000
0.5000 0.5000 0.5000
0.0000 0.0000 0.5000
0.0000 0.5000 0.0000
0.5000 0.0000 0.0000
```

The following is a PBE calculation of a relaxed MoIr2Br crystal, from Alexandria.

Geometry as POSCAR:
```
MoIr2Br
1.0
2.8646 0.0000 0.0000
0.0000 2.8646 0.0000
0.0000 0.0000 8.4771
Mo Ir Br
1 2 1
direct
0.0000 0.0000 0.4863
0.0000 0.0000 0.0504
0.5000 0.5000 0.2719
0.5000 0.5000 0.6914
```

Computed V (Å³/atom) in order:
26.9, 33.0, 41.5, 13.4, 40.8, 24.5, 10.6, 17.4
Computed uncorrected energy (eV/atom) in order:
-3.8380, -5.0462, -4.7602, -8.1214, -3.8967, -2.7505, -8.3899, -7.0411
Computed N(E_F) (states/eV/f.u.) in order:
0.0, 15.9, 7.3, 4.6, 17.2, 2.1, 4.2, 4.9